Pr2DyI: relaxed, PBE.

abc: 3.6784 3.6784 12.0511
angles: 81.22 81.22 60.00
Closest atoms and distances in Å follow each position.
Sites, in units of the cell vectors:
Pr1 0.9059 0.9059 0.2822  3 I 3.34, 1 Dy 3.35, 6 Pr 3.68
I1 0.5000 0.5000 0.5000  6 Pr 3.34, 6 I 3.68
Pr2 0.0941 0.0941 0.7178  3 I 3.34, 1 Dy 3.35, 6 Pr 3.68
Dy1 0.0000 0.0000 0.0000  2 Pr 3.35, 6 Dy 3.68

Properties
The uncorrected formation energy is -0.128 eV per atom. The value obtained for the raw total energy is -4.0559 eV/atom. Its space group is R-3m. The crystal system is trigonal. For the energy above the most stable polymorph in this dataset, the calculation gives 277 meV per atom.